! PrSmCuS3 | the Open Quantum Materials Database | PBE-GGA | relaxed; values from VASP
! Symmetry ... Cmcm (63)
! V ... 21.824 Å³/atom
! E ... -5.809 eV per atom
! Size of the total moment ... 0.0 μB/f.u.
&SYSTEM
  ibrav = 0, nat = 12, ntyp = 4
/
ATOMIC_SPECIES
S 32.06 S.upf
Cu 63.55 Cu.upf
Pr 140.91 Pr.upf
Sm 150.36 Sm.upf
ATOMIC_POSITIONS angstrom
S 1.915 -4.443 6.356
S 1.915 4.443 0.961
S 1.915 -1.099 8.093
S 1.915 4.443 4.434
S 1.915 -4.443 9.829
S 1.915 1.099 2.698
Cu 1.915 -6.015 8.093
Cu 1.915 6.015 2.698
Pr 1.915 0.000 0.000
Pr 1.915 0.000 5.395
Sm 1.915 -3.023 2.698
Sm 1.915 3.023 8.093
CELL_PARAMETERS angstrom
1.915 -6.337 0.000
1.915 6.337 0.000
0.000 0.000 10.790